Compound: K2CoRh3F12
Source: Alexandria via LeMat-Bulk
Functional: PBE with a Hubbard U
Structure: optimized geometry

Structure (POSCAR):
```
K2CoRh3F12
1.0
3.735 2.156 6.015
-3.735 2.156 6.015
0.000 -4.312 6.015
K Co Rh F
2 1 3 12
Direct
0.145 0.145 0.145
0.855 0.855 0.855
0.500 0.500 0.500
0.000 0.500 0.500
0.500 0.000 0.500
0.500 0.500 0.000
0.168 0.168 0.575
0.168 0.575 0.168
0.172 0.579 0.579
0.421 0.421 0.828
0.421 0.828 0.421
0.425 0.832 0.832
0.575 0.168 0.168
0.579 0.172 0.579
0.579 0.579 0.172
0.828 0.421 0.421
0.832 0.425 0.832
0.832 0.832 0.425
```

Values from the calculation:
- total DFT energy (no corrections) (Ry/atom) = -0.347
- spin magnetization (μB/f.u.) = 3.72
- space-group type = R-3m
- theoretical density (g/cm3) = 3.85